First-principles (PBE-GGA) data for a geometry-optimized NpGeB structure, as listed in Alexandria.

Summary:
Total magnetization: 0.02 μB per formula unit
Electronic total energy: -47.57 eV per cell
Density: 11003 kg/m³
ΔE_f: 0.150 eV/atom

a = 5.7591 Å, b = 5.7591 Å, c = 7.5306 Å
α = 126.41°, β = 126.41°, γ = 29.37°
Closest atoms and distances in Å follow each position.
Fractional positions:
Np 0.0094 0.0094 0.1642  1 Np 2.35, 3 B 2.51-2.57
Np 0.9906 0.9906 0.8358  1 Np 2.35, 3 B 2.51-2.57
Ge 0.3332 0.3332 0.2811  1 B 2.13
Ge 0.6668 0.6668 0.7189  1 B 2.13
B 0.2890 0.2890 0.5191  2 B 1.63
B 0.7110 0.7110 0.4809  2 B 1.63